A plane-wave DFT calculation with PBE was carried out for a geometry-optimized V4Fe4Ni5 structure.

abc: 9.1015 9.1015 3.6610
angles: 90.00 90.00 90.00
Space group I4/m (No. 87)
Unique sites:
1 V 0.1367 0.7640 0.0000 (multiplicity 8)
2 Fe 0.0867 0.3845 0.0000 (multiplicity 8)
3 Ni 0.0000 0.0000 0.0000 (multiplicity 2)
4 Ni 0.0471 0.1876 0.5000 (multiplicity 8)

Properties
Calculated density   7.892 g cm⁻³
Formation energy from the elements   -0.091 eV/atom
V   11.664 Å³/atom
DOS(E_F)   26.6 states/eV per cell
Total magnetic moment   3.0 μB per formula unit
Raw total energy   -7.724 eV per atom